(1)
Density functional theory data (PBE-GGA) for crystalline Ca2FeRh at its relaxed geometry.

Results
- DOS at the Fermi energy: 1.197 states/eV/atom
- E_form: 4.2 kJ/mol of atoms
- Uncorrected energy: -4.91 eV per atom

Structure (POSCAR):
```
Ca2FeRh
1.0
3.3683 0.1255 0.0000
-0.1270 3.3683 0.0000
0.0000 0.0000 8.3569
Ca Rh Fe
2 1 1
direct
0.0000 0.0000 0.9236
0.5000 0.5000 0.3214
0.5000 0.5000 0.6837
0.0000 0.0000 0.5713
```



(2)
Density functional theory data (PBE-GGA) for crystalline SrAlAgPt at its relaxed geometry.

Results
- DOS at the Fermi energy: 0.195 states/eV/atom
- E_form: -61.9 kJ/mol of atoms
- Uncorrected energy: -4.22 eV per atom

Structure (POSCAR):
```
SrAlAgPt
1.0
-2.5677 0.4774 3.1553
1.9367 -2.9856 2.0278
7.0879 7.7217 4.5997
Sr Al Ag Pt
2 2 2 2
direct
0.7500 0.7500 0.2624
0.2500 0.2500 0.7376
0.7500 0.2500 0.0000
0.2500 0.7500 0.0000
0.2500 0.7500 0.5000
0.7500 0.2500 0.5000
0.7500 0.7500 0.8747
0.2500 0.2500 0.1253
```



(3)
Density functional theory data (PBE-GGA) for crystalline CePm2Bi2N2 at its relaxed geometry.

Results
- DOS at the Fermi energy: 0.532 states/eV/atom
- Uncorrected energy: -6.59 eV per atom
- E_form (uncorrected): -898 meV per atom

Structure (POSCAR):
```
CePm2Bi2N2
1.0
4.5219 0.0000 0.0000
0.0000 4.5219 0.0000
-2.2610 -2.2610 8.1232
Ce Pm Bi N
1 2 2 2
direct
0.0000 0.0000 0.0000
0.4010 0.4010 0.8019
0.5990 0.5990 0.1981
0.2055 0.2055 0.4109
0.7945 0.7945 0.5891
0.0000 0.5000 0.0000
0.5000 0.0000 0.0000
```



(4)
Density functional theory data (PBE-GGA) for crystalline KLi2CuGe at its relaxed geometry.

Results
- DOS at the Fermi energy: 0.215 states/eV/atom
- E_form: -1.8 kJ/mol of atoms
- Energy above the lowest structure with this stoichiometry: 0.057 eV/atom
- Uncorrected energy: -2.75 eV per atom

Structure (POSCAR):
```
KLi2CuGe
1.0
-2.9305 2.6085 3.2396
-4.1523 -1.6074 -2.4619
-0.2118 -3.6039 2.7102
Ge K Cu Li
1 1 1 2
direct
0.0000 0.0000 0.5000
0.5000 0.5000 0.5000
0.0000 0.0000 0.0000
0.0000 0.5000 0.0000
0.5000 0.0000 0.0000
```



(5)
Density functional theory data (PBE-GGA) for crystalline BaScAg4 at its relaxed geometry.

Results
- DOS at the Fermi energy: 0.905 states/eV/atom
- E_form: -1.0 kJ/mol of atoms
- Uncorrected energy: -3.29 eV per atom

Structure (POSCAR):
```
BaScAg4
1.0
0.0000 4.1293 4.1293
4.1293 0.0000 4.1293
4.1293 4.1293 0.0000
Ba Sc Ag
1 1 4
direct
0.7500 0.7500 0.7500
0.0000 0.0000 0.0000
0.8795 0.3735 0.3735
0.3735 0.3735 0.8795
0.3735 0.8795 0.3735
0.3735 0.3735 0.3735
```



(6)
Density functional theory data (PBE-GGA) for crystalline Na2Li5Pb2 at its relaxed geometry.

Results
- DOS at the Fermi energy: 0.309 states/eV/atom
- E_form: -9.2 kJ/mol of atoms
- Uncorrected energy: -2.28 eV per atom

Structure (POSCAR):
```
Na2Li5Pb2
1.0
10.1233 0.0000 0.0000
0.0000 5.9224 0.0000
-5.0616 -2.9612 7.2987
Na Li Pb
4 10 4
direct
0.0000 0.0372 0.0000
0.5000 0.5372 0.0000
0.2403 0.2876 0.5000
0.7597 0.7876 0.5000
0.1763 0.7133 0.8524
0.8238 0.8609 0.1476
0.1761 0.2133 0.8524
0.8239 0.3609 0.1476
0.3910 0.9289 0.2824
0.6090 0.6465 0.7176
0.3914 0.4289 0.2824
0.6086 0.1465 0.7176
0.0653 0.7874 0.5000
0.9347 0.2874 0.5000
0.1257 0.6511 0.2280
0.8743 0.4232 0.7720
0.6023 0.1511 0.2280
0.3977 0.9232 0.7720
```